Record 1
# Sr4HgPt2

A geometry-optimized Sr4HgPt2 structure (GGA-PBE, Alexandria via LeMat-Bulk).

Cell: 7.538 7.538 7.666 Å, 90.00 90.00 90.00°
Positions (direct):
Sr (0.250, 0.250, 0.250)
Sr (0.250, 0.250, 0.750)
Sr (0.250, 0.750, 0.250)
Sr (0.250, 0.750, 0.750)
Sr (0.750, 0.250, 0.250)
Sr (0.750, 0.250, 0.750)
Sr (0.750, 0.750, 0.250)
Sr (0.750, 0.750, 0.750)
Hg (0.000, 0.000, 0.000)
Hg (0.500, 0.500, 0.500)
Pt (0.000, 0.500, 0.000)
Pt (0.000, 0.500, 0.500)
Pt (0.500, 0.000, 0.000)
Pt (0.500, 0.000, 0.500)

Summary:
energy of formation: -579 meV/atom
uncorrected energy: -3.31 eV per atom
density: 7.2 g/cm³



Record 2
# Pr2Ge5Ru3

A geometry-optimized Pr2Ge5Ru3 structure (GGA-PBE, Alexandria via LeMat-Bulk).

Cell: 8.573 8.573 8.573 Å, 108.29 85.63 139.67°
Positions (direct):
Pr (0.137, 0.232, 0.368)
Pr (0.363, 0.732, 0.095)
Pr (0.637, 0.268, 0.905)
Pr (0.863, 0.768, 0.632)
Ge (0.040, 0.750, 0.290)
Ge (0.091, 0.671, 0.762)
Ge (0.250, 0.250, 0.000)
Ge (0.409, 0.171, 0.580)
Ge (0.460, 0.750, 0.710)
Ge (0.540, 0.250, 0.290)
Ge (0.591, 0.829, 0.420)
Ge (0.750, 0.750, 0.000)
Ge (0.909, 0.329, 0.238)
Ge (0.960, 0.250, 0.710)
Ru (0.146, 0.907, 0.052)
Ru (0.250, 0.750, 0.500)
Ru (0.354, 0.407, 0.761)
Ru (0.646, 0.593, 0.239)
Ru (0.750, 0.250, 0.500)
Ru (0.854, 0.093, 0.948)

Summary:
energy of formation: -639 meV/atom
uncorrected energy: -6.69 eV per atom
density: 8.4 g/cm³



Copy entry 2 word for word.
# Pr2Ge5Ru3

A geometry-optimized Pr2Ge5Ru3 structure (GGA-PBE, Alexandria via LeMat-Bulk).

Cell: 8.573 8.573 8.573 Å, 108.29 85.63 139.67°
Positions (direct):
Pr (0.137, 0.232, 0.368)
Pr (0.363, 0.732, 0.095)
Pr (0.637, 0.268, 0.905)
Pr (0.863, 0.768, 0.632)
Ge (0.040, 0.750, 0.290)
Ge (0.091, 0.671, 0.762)
Ge (0.250, 0.250, 0.000)
Ge (0.409, 0.171, 0.580)
Ge (0.460, 0.750, 0.710)
Ge (0.540, 0.250, 0.290)
Ge (0.591, 0.829, 0.420)
Ge (0.750, 0.750, 0.000)
Ge (0.909, 0.329, 0.238)
Ge (0.960, 0.250, 0.710)
Ru (0.146, 0.907, 0.052)
Ru (0.250, 0.750, 0.500)
Ru (0.354, 0.407, 0.761)
Ru (0.646, 0.593, 0.239)
Ru (0.750, 0.250, 0.500)
Ru (0.854, 0.093, 0.948)

Summary:
energy of formation: -639 meV/atom
uncorrected energy: -6.69 eV per atom
density: 8.4 g/cm³



Copy entry 1 word for word.
# Sr4HgPt2

A geometry-optimized Sr4HgPt2 structure (GGA-PBE, Alexandria via LeMat-Bulk).

Cell: 7.538 7.538 7.666 Å, 90.00 90.00 90.00°
Positions (direct):
Sr (0.250, 0.250, 0.250)
Sr (0.250, 0.250, 0.750)
Sr (0.250, 0.750, 0.250)
Sr (0.250, 0.750, 0.750)
Sr (0.750, 0.250, 0.250)
Sr (0.750, 0.250, 0.750)
Sr (0.750, 0.750, 0.250)
Sr (0.750, 0.750, 0.750)
Hg (0.000, 0.000, 0.000)
Hg (0.500, 0.500, 0.500)
Pt (0.000, 0.500, 0.000)
Pt (0.000, 0.500, 0.500)
Pt (0.500, 0.000, 0.000)
Pt (0.500, 0.000, 0.500)

Summary:
energy of formation: -579 meV/atom
uncorrected energy: -3.31 eV per atom
density: 7.2 g/cm³